Arrangement P

DFT (GGA-PBE) results for a relaxed structure of PrDy2Mg4.

abc: 5.369 5.369 14.908
angles: 90.00 90.00 90.00
Space group I4/mmm (No. 139)
Asymmetric unit:
Pr 0.000 0.000 0.000
Dy 0.000 0.000 0.250
Mg 0.000 0.500 0.121

---

Arrangement Q

DFT (GGA-PBE) results for a relaxed structure of PrDy2Mg4.

abc: 5.999 12.919 5.560
angles: 90.00 90.00 90.00
Space group Cmmm (No. 65)
Asymmetric unit:
Pr 0.000 0.000 0.000
Dy 0.000 0.367 0.500
Mg 0.000 0.121 0.500
Mg 0.000 0.252 0.000

---

Which structure is the most stable? The one labeled arrangement P.

---

Arrangement P

DFT (GGA-PBE) results for a relaxed structure of PrDy4Mg.

abc: 3.608 3.608 14.259
angles: 90.00 90.00 90.00
Space group P4/mmm (No. 123)
Asymmetric unit:
Pr 0.000 0.000 0.000
Dy 0.000 0.000 0.351
Dy 0.500 0.500 0.180
Mg 0.500 0.500 0.500

---

Arrangement Q

DFT (GGA-PBE) results for a relaxed structure of PrDy4Mg.

abc: 5.469 12.154 11.203
angles: 90.00 90.00 90.00
Space group Cmc2_1 (No. 36)
Asymmetric unit:
Pr 0.000 0.179 0.000
Dy 0.000 0.020 0.714
Dy 0.000 0.172 0.439
Dy 0.000 0.320 0.719
Dy 0.000 0.496 0.975
Mg 0.000 0.348 0.227

---

Which structure is the most stable? The one labeled arrangement P.

---

Arrangement P

DFT (GGA-PBE) results for a relaxed structure of Pr3Dy4Mg.

abc: 4.971 5.057 20.512
angles: 90.00 90.00 90.00
Space group Immm (No. 71)
Asymmetric unit:
Pr 0.000 0.000 0.000
Pr 0.000 0.500 0.125
Dy 0.000 0.000 0.248
Dy 0.000 0.500 0.374
Mg 0.000 0.000 0.500

---

Arrangement Q

DFT (GGA-PBE) results for a relaxed structure of Pr3Dy4Mg.

abc: 11.421 7.279 6.249
angles: 90.00 90.00 90.00
Space group Pmn2_1 (No. 31)
Asymmetric unit:
Pr 0.000 0.125 0.000
Pr 0.244 0.622 0.659
Dy 0.000 0.632 0.996
Dy 0.000 0.873 0.479
Dy 0.244 0.125 0.648
Mg 0.000 0.376 0.497

---

Which structure is the most stable? The one labeled arrangement Q.

---

Arrangement P

DFT (GGA-PBE) results for a relaxed structure of Pr4Dy5Mg.

abc: 10.799 10.799 5.817
angles: 90.00 90.00 90.00
Space group I4mm (No. 107)
Asymmetric unit:
Pr 0.000 0.316 0.000
Dy 0.000 0.000 0.802
Dy 0.185 0.185 0.513
Mg 0.000 0.000 0.283

---

Arrangement Q

DFT (GGA-PBE) results for a relaxed structure of Pr4Dy5Mg.

abc: 3.654 3.654 24.355
angles: 90.00 90.00 90.00
Space group P4/mmm (No. 123)
Asymmetric unit:
Pr 0.000 0.000 0.104
Pr 0.000 0.000 0.313
Dy 0.500 0.500 0.000
Dy 0.500 0.500 0.209
Dy 0.500 0.500 0.415
Mg 0.000 0.000 0.500

---

Which structure is the most stable? The one labeled arrangement Q.

---

Arrangement P

DFT (GGA-PBE) results for a relaxed structure of Pr3Dy3Mg.

abc: 6.2773 6.2773 42.3357
angles: 90.00 90.00 120.00
Space group R-3 (No. 148, hexagonal axes)
Asymmetric unit:
Pr 0.0002 0.3321 0.0645
Dy 0.9996 0.3331 0.2004
Mg 0.0000 0.0000 0.3333

---

Arrangement Q

DFT (GGA-PBE) results for a relaxed structure of Pr3Dy3Mg.

abc: 9.629 5.689 9.629
angles: 90.00 120.00 90.00
Space group P2_1/m (No. 11)
Asymmetric unit:
Pr 0.029 0.250 0.131
Pr 0.131 0.750 0.602
Pr 0.398 0.750 0.029
Dy 0.266 0.750 0.318
Dy 0.318 0.250 0.552
Dy 0.448 0.250 0.266
Mg 0.167 0.250 0.834

---

Which structure is the most stable? The one labeled arrangement Q.

---

Arrangement P

DFT (GGA-PBE) results for a relaxed structure of Pr2Dy4Mg.

abc: 11.883 6.602 11.815
angles: 90.00 90.00 90.00
Space group Cmce (No. 64)
Asymmetric unit:
Pr 0.148 0.000 0.000
Dy 0.000 0.205 0.246
Dy 0.250 0.086 0.750
Mg 0.000 0.000 0.500

---

Arrangement Q

DFT (GGA-PBE) results for a relaxed structure of Pr2Dy4Mg.

abc: 8.229 8.229 6.755
angles: 90.00 90.00 90.00
Space group I-42m (No. 121)
Asymmetric unit:
Pr 0.000 0.500 0.250
Dy 0.203 0.203 0.076
Mg 0.000 0.000 0.500

---

Which structure is the most stable? The one labeled arrangement P.

---

Arrangement P

DFT (GGA-PBE) results for a relaxed structure of Pr12Dy7Mg.

abc: 11.679 11.679 11.679
angles: 90.00 90.00 90.00
Space group Im-3 (No. 204)
Asymmetric unit:
Pr 0.000 0.249 0.248
Dy 0.000 0.000 0.500
Dy 0.250 0.250 0.250
Mg 0.000 0.000 0.000

---

Arrangement Q

DFT (GGA-PBE) results for a relaxed structure of Pr12Dy7Mg.

abc: 15.1980 15.1980 10.2104
angles: 90.00 90.00 120.00
Space group R-3 (No. 148, hexagonal axes)
Asymmetric unit:
Pr 0.0242 0.7725 0.0546
Pr 0.0492 0.8702 0.7432
Dy 0.0000 0.0000 0.0000
Dy 0.0732 0.8158 0.4376
Mg 0.0000 0.0000 0.5000

---

Which structure is the most stable? The one labeled arrangement Q.

---

Arrangement P

DFT (GGA-PBE) results for a relaxed structure of Pr2Dy6Mg.

abc: 10.623 10.623 5.050
angles: 90.00 90.00 90.00
Space group P4_2/mnm (No. 136)
Asymmetric unit:
Pr 0.164 0.164 0.000
Dy 0.001 0.666 0.500
Dy 0.168 0.832 0.000
Mg 0.000 0.000 0.500

---

Arrangement Q

DFT (GGA-PBE) results for a relaxed structure of Pr2Dy6Mg.

abc: 9.162 9.314 13.932
angles: 90.00 105.11 90.00
Space group C2/c (No. 15)
Asymmetric unit:
Pr 0.204 0.164 0.307
Dy 0.000 0.328 0.040
Dy 0.120 0.186 0.860
Dy 0.176 0.010 0.574
Mg 0.000 0.492 0.250

---

Which structure is the most stable? The one labeled arrangement P.